# 1
## Cr3Au (GGA-PBE)

Data for a geometry-optimized Cr3Au structure.

The structure belongs to space group P6_3/mmc (No. 194); the cell edges are 5.4494, 5.4494 and 4.1577 Å and the angles 90.00°, 90.00° and 120.00°. The distinct sites, in fractional coordinates, are Cr at (0.1464, 0.2928, 0.2500) and Au at (0.3333, 0.6667, 0.7500).

The value obtained for the final energy is -7.817 eV/atom. The energy of formation from the pure elements comes out at 0.22 eV/atom.

# 2
## Cr5Au (GGA-PBE)

Data for a geometry-optimized Cr5Au structure.

The structure belongs to space group Cmmm (No. 65); the cell edges are 4.259, 12.504 and 3.069 Å and the angles 90.00°, 90.00° and 90.00°. The distinct sites, in fractional coordinates, are Cr at (0.000, 0.000, 0.000), Cr at (0.000, 0.166, 0.500), Cr at (0.000, 0.321, 0.000) and Au at (0.000, 0.500, 0.500).

The value obtained for the final energy is -8.345 eV/atom. The energy of formation from the pure elements comes out at 0.22 eV/atom. As for the energy relative to the lowest polymorph listed for this composition: 0.000 eV per atom.

# 3
## Cr3Au4 (GGA-PBE)

Data for a geometry-optimized Cr3Au4 structure.

The structure belongs to space group I4/mmm (No. 139); the cell edges are 3.470, 3.470 and 20.088 Å and the angles 90.00°, 90.00° and 90.00°. The distinct sites, in fractional coordinates, are Cr at (0.000, 0.000, 0.000), Cr at (0.000, 0.000, 0.290), Au at (0.000, 0.000, 0.151) and Au at (0.000, 0.000, 0.430).

The value obtained for the final energy is -5.739 eV/atom. The energy of formation from the pure elements comes out at 0.26 eV/atom.

# 4
## Cr7Au (GGA-PBE)

Data for a geometry-optimized Cr7Au structure.

The structure belongs to space group Fm-3m (No. 225); the cell edges are 7.377, 7.377 and 7.377 Å and the angles 90.00°, 90.00° and 90.00°. The distinct sites, in fractional coordinates, are Cr at (0.000, 0.000, 0.000), Cr at (0.000, 0.250, 0.250) and Au at (0.000, 0.000, 0.500).

The value obtained for the final energy is -8.447 eV/atom. The energy of formation from the pure elements comes out at 0.38 eV/atom.

# 5
## Cr3Au (GGA-PBE)

Data for a geometry-optimized Cr3Au structure.

The structure belongs to space group P4/mmm (No. 123); the cell edges are 2.994, 2.994 and 6.471 Å and the angles 90.00°, 90.00° and 90.00°. The distinct sites, in fractional coordinates, are Cr at (0.000, 0.000, 0.000), Cr at (0.500, 0.500, 0.216) and Au at (0.000, 0.000, 0.500).

The value obtained for the final energy is -7.820 eV/atom. The energy of formation from the pure elements comes out at 0.22 eV/atom.

# 6
## Cr3Au (GGA-PBE)

Data for a geometry-optimized Cr3Au structure.

The structure belongs to space group I4/mmm (No. 139); the cell edges are 4.158, 4.158 and 6.917 Å and the angles 90.00°, 90.00° and 90.00°. The distinct sites, in fractional coordinates, are Cr at (0.000, 0.000, 0.000), Cr at (0.000, 0.500, 0.250) and Au at (0.000, 0.000, 0.500).

The value obtained for the final energy is -7.729 eV/atom. The energy of formation from the pure elements comes out at 0.31 eV/atom.

> Which formula does entry 6 have?

Cr3Au

Copy entry 2 word for word.
## Cr5Au (GGA-PBE)

Data for a geometry-optimized Cr5Au structure.

The structure belongs to space group Cmmm (No. 65); the cell edges are 4.259, 12.504 and 3.069 Å and the angles 90.00°, 90.00° and 90.00°. The distinct sites, in fractional coordinates, are Cr at (0.000, 0.000, 0.000), Cr at (0.000, 0.166, 0.500), Cr at (0.000, 0.321, 0.000) and Au at (0.000, 0.500, 0.500).

The value obtained for the final energy is -8.345 eV/atom. The energy of formation from the pure elements comes out at 0.22 eV/atom. As for the energy relative to the lowest polymorph listed for this composition: 0.000 eV per atom.